(1)
The following is a DFT calculation (PBE-GGA) of an optimized crystal structure of CeZrIrOs.

```
CeZrIrOs
1.0
0.000 3.388 3.388
3.388 0.000 3.388
3.388 3.388 0.000
Ce Zr Ir Os
1 1 1 1
direct
0.000 0.000 0.000
0.500 0.500 0.500
0.250 0.250 0.250
0.750 0.750 0.750
```

E_tot, eV per atom: -9.03

---

(2)
The following is a DFT calculation (PBE-GGA) of an optimized crystal structure of In2CuAu8.

```
In2CuAu8
1.0
7.624 -2.113 0.000
7.624 2.113 0.000
-1.733 0.000 6.262
In Cu Au
2 1 8
direct
0.142 0.142 0.184
0.858 0.858 0.816
0.500 0.500 0.000
0.039 0.039 0.744
0.223 0.223 0.639
0.328 0.328 0.096
0.413 0.413 0.557
0.587 0.587 0.443
0.672 0.672 0.904
0.777 0.777 0.361
0.961 0.961 0.256
```

Energy above the most stable polymorph in this dataset, eV per atom: 0.000

---

(3)
The following is a DFT calculation (PBE-GGA) of an optimized crystal structure of Ce2TmZn2Sn2.

```
Ce2TmZn2Sn2
1.0
2.268 1.310 9.260
-2.268 1.310 9.260
0.000 -2.619 9.260
Ce Tm Zn Sn
2 1 2 2
direct
0.142 0.142 0.142
0.858 0.858 0.858
0.000 0.000 0.000
0.418 0.418 0.418
0.582 0.582 0.582
0.271 0.271 0.271
0.729 0.729 0.729
```

E_tot, eV per atom: -4.15

---

(4)
The following is a DFT calculation (PBE-GGA) of an optimized crystal structure of MgScHg2.

```
MgScHg2
1.0
1.745 1.008 8.777
-1.745 1.008 8.777
0.000 -2.016 8.777
Mg Sc Hg
1 1 2
direct
0.000 0.000 0.000
0.500 0.500 0.500
0.250 0.250 0.250
0.750 0.750 0.750
```

E_tot, eV per atom: -2.34

---

(5)
The following is a DFT calculation (PBE-GGA) of an optimized crystal structure of Ba2NaP.

```
Ba2NaP
1.0
4.079 0.000 0.000
0.000 4.079 0.000
0.000 0.000 9.234
Ba Na P
2 1 1
direct
0.000 0.000 0.182
0.000 0.000 0.818
0.500 0.500 0.500
0.500 0.500 0.000
```

E_tot, eV per atom: -3.20

---

(6)
The following is a DFT calculation (PBE-GGA) of an optimized crystal structure of In2CuOs.

```
In2CuOs
1.0
3.387 0.000 0.000
0.000 3.387 0.000
0.000 0.000 6.010
In Cu Os
2 1 1
direct
0.000 0.000 0.249
0.000 0.000 0.751
0.500 0.500 0.000
0.500 0.500 0.500
```

E_tot, eV per atom: -4.87

---

(7)
The following is a DFT calculation (PBE-GGA) of an optimized crystal structure of KMgBr2.

```
KMgBr2
1.0
4.053 -4.005 0.000
4.053 4.005 0.000
-1.052 0.000 3.814
K Mg Br
1 1 2
direct
0.000 0.000 0.000
0.500 0.500 0.000
0.000 0.500 0.500
0.500 0.000 0.500
```

Energy above the most stable polymorph in this dataset, eV per atom: 0.128
Formation energy (no corrections), kJ per mole of atoms: -98

---

(8)
The following is a DFT calculation (PBE-GGA) of an optimized crystal structure of Pm6PrY3.

```
Pm6PrY3
1.0
4.935 -10.732 0.000
4.935 10.732 0.000
0.000 0.000 6.487
Pm Pr Y
12 2 6
direct
0.015 0.985 0.500
0.107 0.544 0.974
0.261 0.379 0.730
0.300 0.700 0.506
0.379 0.261 0.230
0.456 0.893 0.974
0.544 0.107 0.474
0.621 0.739 0.730
0.700 0.300 0.006
0.739 0.621 0.230
0.893 0.456 0.474
0.985 0.015 0.000
0.159 0.841 0.297
0.841 0.159 0.797
0.042 0.296 0.318
0.296 0.042 0.818
0.419 0.581 0.208
0.581 0.419 0.708
0.704 0.958 0.318
0.958 0.704 0.818
```

Energy above the most stable polymorph in this dataset, eV per atom: 0.000

---

(9)
The following is a DFT calculation (PBE-GGA) of an optimized crystal structure of ScReAu2.

```
ScReAu2
1.0
1.491 0.861 9.239
-1.491 0.861 9.239
0.000 -1.722 9.239
Sc Re Au
1 1 2
direct
0.000 0.000 0.000
0.252 0.252 0.252
0.505 0.505 0.505
0.750 0.750 0.750
```

Energy above the most stable polymorph in this dataset, eV per atom: 0.176

---

(10)
The following is a DFT calculation (PBE-GGA) of an optimized crystal structure of Mg2AlW3S8.

```
Mg2AlW3S8
1.0
3.503 2.022 6.248
-3.503 2.022 6.248
0.000 -4.045 6.248
Mg Al W S
2 1 3 8
direct
0.000 0.000 0.000
0.249 0.249 0.249
0.658 0.658 0.658
0.200 0.608 0.608
0.608 0.200 0.608
0.608 0.608 0.200
0.382 0.382 0.382
0.416 0.891 0.891
0.418 0.418 0.849
0.418 0.849 0.418
0.849 0.418 0.418
0.867 0.867 0.867
0.891 0.416 0.891
0.891 0.891 0.416
```

Formation energy (no corrections), kJ per mole of atoms: -77

---

(11)
The following is a DFT calculation (PBE-GGA) of an optimized crystal structure of CsYTeN2.

```
CsYTeN2
1.0
4.471 0.000 0.000
0.000 4.471 0.000
0.000 0.000 6.705
Cs Y Te N
1 1 1 2
direct
0.000 0.000 0.000
0.500 0.500 0.500
0.000 0.000 0.500
0.000 0.500 0.000
0.500 0.000 0.000
```

Energy above the most stable polymorph in this dataset, eV per atom: 1.114
Formation energy (no corrections), kJ per mole of atoms: 146

---

(12)
The following is a DFT calculation (PBE-GGA) of an optimized crystal structure of Pm3PrHo2.

```
Pm3PrHo2
1.0
-1.749 2.994 9.849
1.749 -2.994 9.849
1.749 2.994 -9.849
Pm Pr Ho
3 1 2
direct
0.000 0.000 0.000
0.308 0.808 0.500
0.692 0.192 0.500
0.500 0.000 0.500
0.138 0.638 0.500
0.862 0.362 0.500
```

Energy above the most stable polymorph in this dataset, eV per atom: 0.329

---

(13)
The following is a DFT calculation (PBE-GGA) of an optimized crystal structure of Nb2Ni3Pd.

```
Nb2Ni3Pd
1.0
4.608 -4.050 0.000
4.608 4.050 0.000
0.000 0.000 4.641
Nb Ni Pd
4 6 2
direct
0.106 0.609 0.750
0.391 0.894 0.750
0.609 0.106 0.250
0.894 0.391 0.250
0.065 0.935 0.250
0.246 0.246 0.000
0.246 0.246 0.500
0.754 0.754 0.000
0.754 0.754 0.500
0.935 0.065 0.750
0.402 0.598 0.250
0.598 0.402 0.750
```

E_tot, eV per atom: -7.15

---

(14)
The following is a DFT calculation (PBE-GGA) of an optimized crystal structure of YZnB.

```
YZnB
1.0
-1.798 3.415 4.065
1.798 -3.415 4.065
1.798 3.415 -4.065
Y Zn B
2 2 2
direct
0.239 0.239 0.000
0.761 0.761 0.000
0.317 0.000 0.317
0.683 0.000 0.683
0.123 0.500 0.623
0.877 0.500 0.377
```

Energy above the most stable polymorph in this dataset, eV per atom: 0.109

---

(15)
The following is a DFT calculation (PBE-GGA) of an optimized crystal structure of Hf2Nb2Pd.

```
Hf2Nb2Pd
1.0
6.962 0.000 0.000
0.000 6.962 0.000
0.000 0.000 4.150
Hf Nb Pd
4 4 2
direct
0.168 0.332 0.000
0.332 0.832 0.000
0.668 0.168 0.000
0.832 0.668 0.000
0.135 0.635 0.500
0.365 0.135 0.500
0.635 0.865 0.500
0.865 0.365 0.500
0.000 0.000 0.500
0.500 0.500 0.500
```

Energy above the most stable polymorph in this dataset, eV per atom: 0.270

---

(16)
The following is a DFT calculation (PBE-GGA) of an optimized crystal structure of Cs3KAu.

```
Cs3KAu
1.0
8.732 0.000 0.000
0.000 12.571 0.000
0.000 0.000 12.461
Cs K Au
12 4 4
direct
0.163 0.038 0.185
0.163 0.462 0.185
0.209 0.750 0.400
0.291 0.250 0.900
0.337 0.538 0.685
0.337 0.962 0.685
0.663 0.038 0.315
0.663 0.462 0.315
0.709 0.750 0.100
0.791 0.250 0.600
0.837 0.538 0.815
0.837 0.962 0.815
0.214 0.250 0.475
0.286 0.750 0.975
0.714 0.250 0.025
0.786 0.750 0.525
0.000 0.000 0.500
0.000 0.500 0.500
0.500 0.000 0.000
0.500 0.500 0.000
```

Energy above the most stable polymorph in this dataset, eV per atom: 0.037

---

(17)
The following is a DFT calculation (PBE-GGA) of an optimized crystal structure of SmCuAgTe3.

```
SmCuAgTe3
1.0
8.712 0.000 0.000
0.000 4.239 0.000
-0.952 0.000 9.000
Sm Cu Ag Te
2 2 2 6
direct
0.152 0.250 0.238
0.848 0.750 0.762
0.062 0.250 0.571
0.938 0.750 0.429
0.359 0.750 0.848
0.641 0.250 0.152
0.107 0.250 0.865
0.238 0.750 0.513
0.406 0.750 0.166
0.594 0.250 0.834
0.762 0.250 0.487
0.893 0.750 0.135
```

Formation energy (no corrections), kJ per mole of atoms: -55

---

(18)
The following is a DFT calculation (PBE-GGA) of an optimized crystal structure of Pu5Pt3Rh.

```
Pu5Pt3Rh
1.0
8.843 0.000 0.000
-4.422 7.658 0.000
0.000 0.000 5.849
Pu Pt Rh
10 6 2
direct
0.000 0.273 0.250
0.000 0.727 0.750
0.273 0.000 0.250
0.273 0.273 0.750
0.333 0.667 0.000
0.333 0.667 0.500
0.667 0.333 0.000
0.667 0.333 0.500
0.727 0.000 0.750
0.727 0.727 0.250
0.000 0.384 0.750
0.000 0.616 0.250
0.384 0.000 0.750
0.384 0.384 0.250
0.616 0.000 0.250
0.616 0.616 0.750
0.000 0.000 0.000
0.000 0.000 0.500
```

E_tot, eV per atom: -11.39

---

(19)
The following is a DFT calculation (PBE-GGA) of an optimized crystal structure of Ba2InCu2O6.

```
Ba2InCu2O6
1.0
2.982 1.721 5.725
-2.982 1.721 5.725
0.000 -3.443 5.725
Ba In Cu O
2 1 2 6
direct
0.218 0.218 0.218
0.782 0.782 0.782
0.000 0.000 0.000
0.418 0.418 0.418
0.582 0.582 0.582
0.228 0.757 0.757
0.243 0.243 0.772
0.243 0.772 0.243
0.757 0.228 0.757
0.757 0.757 0.228
0.772 0.243 0.243
```

Formation energy (no corrections), kJ per mole of atoms: -142

---

(20)
The following is a DFT calculation (PBE-GGA) of an optimized crystal structure of Zr3ZnBi.

```
Zr3ZnBi
1.0
5.393 0.000 0.000
0.000 5.393 0.000
0.000 0.000 5.393
Zr Zn Bi
3 1 1
direct
0.000 0.000 0.500
0.000 0.500 0.000
0.500 0.000 0.000
0.500 0.500 0.500
0.000 0.000 0.000
```

Energy above the most stable polymorph in this dataset, eV per atom: 1.207

---

(21)
The following is a DFT calculation (PBE-GGA) of an optimized crystal structure of Ac3Pm3TlHg2.

```
Ac3Pm3TlHg2
1.0
9.353 0.000 0.000
-4.676 8.100 0.000
0.000 0.000 4.043
Ac Pm Tl Hg
3 3 1 2
direct
0.000 0.713 0.000
0.287 0.287 0.000
0.713 0.000 0.000
0.000 0.389 0.500
0.389 0.000 0.500
0.611 0.611 0.500
0.000 0.000 0.500
0.333 0.667 0.000
0.667 0.333 0.000
```

E_tot, eV per atom: -3.48

---

(22)
The following is a DFT calculation (PBE-GGA) of an optimized crystal structure of LiCoBi2Os.

```
LiCoBi2Os
1.0
5.071 0.000 0.000
0.000 5.071 0.000
0.000 0.000 4.556
Li Co Bi Os
1 1 2 1
direct
0.000 0.000 0.000
0.500 0.500 0.500
0.000 0.500 0.500
0.500 0.000 0.500
0.500 0.500 0.000
```

E_tot, eV per atom: -4.73

---

(23)
The following is a DFT calculation (PBE-GGA) of an optimized crystal structure of CsLi4Se2I.

```
CsLi4Se2I
1.0
4.462 0.000 0.000
0.000 4.462 0.000
0.000 0.000 10.920
Cs Li Se I
1 4 2 1
direct
0.000 0.000 0.000
0.000 0.500 0.317
0.000 0.500 0.683
0.500 0.000 0.317
0.500 0.000 0.683
0.500 0.500 0.216
0.500 0.500 0.784
0.000 0.000 0.500
```

Formation energy (no corrections), kJ per mole of atoms: -115

---

(24)
The following is a DFT calculation (PBE-GGA) of an optimized crystal structure of Li2LaTm2In2.

```
Li2LaTm2In2
1.0
2.457 1.418 8.910
-2.457 1.418 8.910
0.000 -2.837 8.910
Li La Tm In
2 1 2 2
direct
0.087 0.087 0.087
0.913 0.913 0.913
0.500 0.500 0.500
0.369 0.369 0.369
0.631 0.631 0.631
0.244 0.244 0.244
0.756 0.756 0.756
```

E_tot, eV per atom: -3.55

---

| no. | magnetic moment (μB per cell) |
| --- | --- |
| 1 | 0.02 |
| 2 | 0.00 |
| 3 | 2.16 |
| 4 | 0.00 |
| 5 | 0.00 |
| 6 | 0.00 |
| 7 | 0.00 |
| 8 | 0.00 |
| 9 | 0.00 |
| 10 | 1.06 |
| 11 | 1.22 |
| 12 | 0.00 |
| 13 | 0.46 |
| 14 | 0.00 |
| 15 | 0.00 |
| 16 | 0.00 |
| 17 | 0.00 |
| 18 | 7.94 |
| 19 | 2.71 |
| 20 | 0.00 |
| 21 | 0.00 |
| 22 | 0.00 |
| 23 | 0.00 |
| 24 | 0.00 |